The following is a PBE calculation of a geometry-optimized NdSb2Pd structure, from the Alexandria database.

Calculated values
* energy above the lowest structure with this stoichiometry: 0.464 eV/atom
* energy relative to the elements, uncorrected: -0.7 eV/f.u.
* space-group type: R-3m (166)

a b c (Å): 3.489 3.489 30.541
angles (deg): 90.00 90.00 120.00
Fractional positions:
Nd1 0.000 0.000 0.000
Nd2 0.333 0.667 0.667
Nd3 0.667 0.333 0.333
Sb1 0.000 0.000 0.104
Sb2 0.000 0.000 0.896
Sb3 0.333 0.667 0.562
Sb4 0.333 0.667 0.771
Sb5 0.667 0.333 0.229
Sb6 0.667 0.333 0.438
Pd1 0.000 0.000 0.500
Pd2 0.333 0.667 0.167
Pd3 0.667 0.333 0.833

***

The following is a PBE calculation of a geometry-optimized NdSbPd6 structure, from the Alexandria database.

Calculated values
* energy above the lowest structure with this stoichiometry: 0.000 eV/atom
* energy relative to the elements, uncorrected: -4.3 eV/f.u.
* space-group type: P4/mmm (123)

a b c (Å): 5.824 5.824 4.148
angles (deg): 90.00 90.00 90.00
Fractional positions:
Nd1 0.000 0.000 0.000
Sb1 0.500 0.500 0.000
Pd1 0.000 0.500 0.000
Pd2 0.256 0.256 0.500
Pd3 0.256 0.744 0.500
Pd4 0.500 0.000 0.000
Pd5 0.744 0.256 0.500
Pd6 0.744 0.744 0.500

***

The following is a PBE calculation of a geometry-optimized NdSb2Pd structure, from the Alexandria database.

Calculated values
* energy above the lowest structure with this stoichiometry: 0.145 eV/atom
* energy relative to the elements, uncorrected: -2.0 eV/f.u.
* space-group type: P4/nmm (129)

a b c (Å): 5.714 5.714 6.283
angles (deg): 90.00 90.00 90.00
Fractional positions:
Nd1 0.250 0.250 0.175
Nd2 0.750 0.750 0.825
Sb1 0.250 0.250 0.665
Sb2 0.250 0.750 0.000
Sb3 0.750 0.250 0.000
Sb4 0.750 0.750 0.335
Pd1 0.250 0.750 0.500
Pd2 0.750 0.250 0.500

***

The following is a PBE calculation of a geometry-optimized NdSb2Pd8 structure, from the Alexandria database.

Calculated values
* energy relative to the elements, uncorrected: -4.8 eV/f.u.
* space-group type: C2/m (12)

a b c (Å): 7.147 7.147 4.808
angles (deg): 102.04 102.04 114.71
Fractional positions:
Nd1 0.000 0.000 0.000
Sb1 0.315 0.685 0.500
Sb2 0.685 0.315 0.500
Pd1 0.077 0.320 0.615
Pd2 0.237 0.763 0.000
Pd3 0.320 0.077 0.615
Pd4 0.403 0.403 0.179
Pd5 0.597 0.597 0.821
Pd6 0.680 0.923 0.385
Pd7 0.763 0.237 0.000
Pd8 0.923 0.680 0.385

***

The following is a PBE calculation of a geometry-optimized NdSb4Pd12 structure, from the Alexandria database.

Calculated values
* energy relative to the elements, uncorrected: -2.9 eV/f.u.
* space-group type: Im-3 (204)

a b c (Å): 7.736 7.736 7.736
angles (deg): 109.47 109.47 109.47
Fractional positions:
Nd1 0.000 0.000 0.000
Sb1 0.000 0.000 0.500
Sb2 0.000 0.500 0.000
Sb3 0.500 0.000 0.000
Sb4 0.500 0.500 0.500
Pd1 0.153 0.502 0.349
Pd2 0.153 0.803 0.651
Pd3 0.197 0.349 0.847
Pd4 0.349 0.153 0.502
Pd5 0.349 0.847 0.197
Pd6 0.498 0.651 0.847
Pd7 0.502 0.349 0.153
Pd8 0.651 0.153 0.803
Pd9 0.651 0.847 0.498
Pd10 0.803 0.651 0.153
Pd11 0.847 0.197 0.349
Pd12 0.847 0.498 0.651

***

The following is a PBE calculation of a geometry-optimized Nd3SnSb2Pd9 structure, from the Alexandria database.

Calculated values
* energy relative to the elements, uncorrected: -7.1 eV/f.u.
* space-group type: P-3m1 (164)

a b c (Å): 6.858 6.858 9.170
angles (deg): 90.00 90.00 120.00
Fractional positions:
Nd1 0.000 0.000 0.000
Nd2 0.333 0.667 0.747
Nd3 0.667 0.333 0.253
Sn1 0.000 0.000 0.500
Sb1 0.333 0.667 0.192
Sb2 0.667 0.333 0.808
Pd1 0.000 0.500 0.000
Pd2 0.133 0.266 0.271
Pd3 0.133 0.867 0.271
Pd4 0.266 0.133 0.729
Pd5 0.500 0.000 0.000
Pd6 0.500 0.500 0.000
Pd7 0.734 0.867 0.271
Pd8 0.867 0.133 0.729
Pd9 0.867 0.734 0.729

***

The following is a PBE calculation of a geometry-optimized NdSn2Sb2Pd7 structure, from the Alexandria database.

Calculated values
* energy relative to the elements, uncorrected: -5.4 eV/f.u.
* space-group type: C2/m (12)

a b c (Å): 4.069 4.069 15.523
angles (deg): 92.77 92.77 90.27
Fractional positions:
Nd1 0.000 0.000 0.000
Sn1 0.137 0.137 0.415
Sn2 0.863 0.863 0.585
Sb1 0.451 0.451 0.748
Sb2 0.549 0.549 0.252
Pd1 0.028 0.527 0.143
Pd2 0.377 0.377 0.578
Pd3 0.473 0.972 0.857
Pd4 0.500 0.500 0.000
Pd5 0.527 0.028 0.143
Pd6 0.623 0.623 0.422
Pd7 0.972 0.473 0.857

***

The following is a PBE calculation of a geometry-optimized Sr2NdSb4Pd3 structure, from the Alexandria database.

Calculated values
* energy relative to the elements, uncorrected: -8.2 eV/f.u.
* space-group type: P-4m2 (115)

a b c (Å): 4.644 4.644 12.320
angles (deg): 90.00 90.00 90.00
Fractional positions:
Sr1 0.000 0.500 0.230
Sr2 0.500 0.000 0.770
Nd1 0.000 0.000 0.500
Sb1 0.000 0.000 0.000
Sb2 0.000 0.500 0.660
Sb3 0.500 0.000 0.340
Sb4 0.500 0.500 0.000
Pd1 0.000 0.500 0.880
Pd2 0.500 0.000 0.120
Pd3 0.500 0.500 0.500

***

The following is a PBE calculation of a geometry-optimized Nd2TmSb3Pd4 structure, from the Alexandria database.

Calculated values
* energy relative to the elements, uncorrected: -9.1 eV/f.u.
* space-group type: P-4m2 (115)

a b c (Å): 4.471 4.471 11.615
angles (deg): 90.00 90.00 90.00
Fractional positions:
Nd1 0.000 0.500 0.214
Nd2 0.500 0.000 0.786
Tm1 0.000 0.000 0.500
Sb1 0.000 0.500 0.867
Sb2 0.500 0.000 0.133
Sb3 0.500 0.500 0.500
Pd1 0.000 0.000 0.000
Pd2 0.000 0.500 0.643
Pd3 0.500 0.000 0.357
Pd4 0.500 0.500 0.000

***

The following is a PBE calculation of a geometry-optimized NdSc2Pd structure, from the Alexandria database.

Calculated values
* formation energy: -24 kJ per mole of atoms
* energy above the lowest structure with this stoichiometry: 0.167 eV/atom
* space-group type: R3m (160)

a b c (Å): 3.696 3.696 26.275
angles (deg): 90.00 90.00 120.00
Fractional positions:
Nd1 0.000 0.000 0.000
Nd2 0.333 0.667 0.667
Nd3 0.667 0.333 0.333
Sc1 0.000 0.000 0.230
Sc2 0.000 0.000 0.441
Sc3 0.333 0.667 0.108
Sc4 0.333 0.667 0.897
Sc5 0.667 0.333 0.564
Sc6 0.667 0.333 0.775
Pd1 0.000 0.000 0.836
Pd2 0.333 0.667 0.503
Pd3 0.667 0.333 0.170

***

The following is a PBE calculation of a geometry-optimized NdSc2Pd3 structure, from the Alexandria database.

Calculated values
* formation energy: -81 kJ per mole of atoms
* space-group type: P4/mmm (123)

a b c (Å): 3.341 3.341 10.645
angles (deg): 90.00 90.00 90.00
Fractional positions:
Nd1 0.000 0.000 0.000
Sc1 0.000 0.000 0.343
Sc2 0.000 0.000 0.657
Pd1 0.500 0.500 0.202
Pd2 0.500 0.500 0.500
Pd3 0.500 0.500 0.798

***

The following is a PBE calculation of a geometry-optimized NdSc2Pd9 structure, from the Alexandria database.

Calculated values
* formation energy: -78 kJ per mole of atoms
* space-group type: P4/mmm (123)

a b c (Å): 4.095 4.095 12.114
angles (deg): 90.00 90.00 90.00
Fractional positions:
Nd1 0.000 0.000 0.000
Sc1 0.000 0.000 0.340
Sc2 0.000 0.000 0.660
Pd1 0.000 0.500 0.179
Pd2 0.000 0.500 0.500
Pd3 0.000 0.500 0.821
Pd4 0.500 0.000 0.179
Pd5 0.500 0.000 0.500
Pd6 0.500 0.000 0.821
Pd7 0.500 0.500 0.000
Pd8 0.500 0.500 0.339
Pd9 0.500 0.500 0.661

***

Here are the calculated total moment numbers, same order: 0.00, 0.00, 0.00, 0.00, 0.00, 0.00, 0.00, 0.00, 0.00, 0.00, 0.00, 0.00 (μB/cell).
Here are the calculated uncorrected energy numbers, same order: -56.65, -44.39, -40.33, -59.39, -86.43, -80.35, -62.80, -48.36, -56.29, -70.86, -38.05, -73.83 (eV/cell).